Entry 1:
First-principles (PBE-GGA) data for a geometry-optimized KErSbSe3 structure, as listed in the Open Quantum Materials Database.

a b c (Å): 8.680 8.680 11.715
angles (deg): 90.00 90.00 153.72
Element x y z (fractional)
1 Er 0.000 0.000 0.000
2 Er 0.000 0.000 0.500
3 K 0.685 0.315 0.250
4 K 0.315 0.685 0.750
5 Sb 0.381 0.619 0.250
6 Sb 0.619 0.381 0.750
7 Se 0.382 0.618 0.010
8 Se 0.009 0.991 0.250
9 Se 0.382 0.618 0.490
10 Se 0.618 0.382 0.510
11 Se 0.991 0.009 0.750
12 Se 0.618 0.382 0.990

Values from the calculation:
- VASP energy: -52.42 eV/cell
- SG: Cmcm (63)
- Magnetization: 0.0010 μB per atom


Entry 2:
First-principles (PBE-GGA) data for a geometry-optimized YPu structure, as listed in the Open Quantum Materials Database.

a b c (Å): 3.115 3.110 5.718
angles (deg): 90.00 90.00 120.06
Site moments in Bohr magnetons follow the coordinates.
Element x y z (fractional)
1 Pu 0.667 0.333 0.750  5.32
2 Y 0.333 0.667 0.250  -0.02

Values from the calculation:
- SG: P-6m2 (187)
- Formation energy from the elements: 0.36 eV/atom
- Energy relative to the lowest polymorph listed for this composition: 241 meV/atom
- Magnetization: 2.7589 μB per atom


Entry 3:
First-principles (PBE-GGA) data for a geometry-optimized CuSbW4C2 structure, as listed in the Open Quantum Materials Database.

a b c (Å): 3.143 3.143 13.126
angles (deg): 90.00 90.00 120.00
Element x y z (fractional)
1 C 0.333 0.667 0.240
2 C 0.333 0.667 0.760
3 Cu 0.000 0.000 0.000
4 Sb 0.667 0.333 0.500
5 W 0.667 0.333 0.154
6 W 0.000 0.000 0.326
7 W 0.000 0.000 0.674
8 W 0.667 0.333 0.846

Values from the calculation:
- VASP energy: -75.34 eV/cell
- SG: P-6m2 (187)
- Magnetization: 0.0002 μB per atom